First-principles (PBE-GGA) data for a relaxed structure of AcSeO6, as listed in the Alexandria database.

Output
Its space group is No. 12. For the density, the calculation gives 6.517 Mg/m³. The raw formation energy is -1084.7 meV/atom.

Cell lengths 4.707, 4.707, 4.749 Å; angles 82.56, 82.56, 97.01 degrees
Last column: magnetic moment on the atom in μB.
Sites, in units of the cell vectors:
Se 0.000 0.000 0.000  -0.06
O 0.726 0.074 0.271  0.43
O 0.728 0.728 0.924  0.45
O 0.074 0.726 0.271  0.43
O 0.274 0.926 0.729  0.43
O 0.272 0.272 0.076  0.45
O 0.926 0.274 0.729  0.43
Ac 0.500 0.500 0.500  -0.01